First-principles (PBE) data for a relaxed La2TlZnCl crystal, as listed in Alexandria via LeMat-Bulk.

Lattice parameters (Å, degrees): 5.4719 5.4502 5.4719 90.00 90.00 90.00
With the nearest neighbours (Å) after each atom.
Element x y z (fractional)
Tl 0.0000 0.5000 0.0000  2 Cl 2.73
Cl 0.0000 0.0000 0.0000  2 Tl 2.73, 4 La 2.74
Zn 0.5000 0.5000 0.5000  8 La 3.86, 4 Tl 3.87
La 0.0000 0.0000 0.5000  2 Cl 2.74
La 0.5000 0.0000 0.0000  2 Cl 2.74

Computed properties:
For the density of states at the Fermi level, the calculation gives 3.683 states/eV per cell. The value obtained for the total energy is -3.36 eV per atom. Its space group is P4/mmm. As for the raw formation energy: -294 meV/atom.